! PBE LiSi2Rh, relaxed; values from VASP
! symmetry = F-43m, No. 216
! Fermi-level density of states = 0.41 states/eV/atom
! E = -20.817 eV for the cell shown
! E_form (uncorrected) = -0.18 eV/atom
&SYSTEM
  ibrav = 0, nat = 4, ntyp = 3
/
ATOMIC_SPECIES
Li 6.94 Li.upf
Si 28.09 Si.upf
Rh 102.91 Rh.upf
CELL_PARAMETERS angstrom
0.0000 2.9634 2.9634
2.9634 0.0000 2.9634
2.9634 2.9634 0.0000
ATOMIC_POSITIONS angstrom
Li 0.0000 0.0000 0.0000
Si 2.9634 2.9634 2.9634
Si 4.4452 4.4452 4.4452
Rh 1.4817 1.4817 1.4817